(1)
# TlC3I, optimized geometry, DFT PBE
# Crystal system: cubic
# Energy relative to the lowest polymorph listed for this composition: 0.194 eV/atom
# E: -0.2114 Ry/atom
data_TlC3I
_chemical_formula_sum 'Tl1 C3 I1'
_cell_length_a 4.5780
_cell_length_b 4.5780
_cell_length_c 4.5780
_cell_angle_alpha 90.00
_cell_angle_beta 90.00
_cell_angle_gamma 90.00
_symmetry_space_group_name_H-M 'P 1'
_symmetry_Int_Tables_number 1
loop_
_symmetry_equiv_pos_as_xyz
'x,y,z'
loop_
_atom_site_label
_atom_site_type_symbol
_atom_site_fract_x
_atom_site_fract_y
_atom_site_fract_z
Tl1 Tl 0.0000 0.0000 0.0000
C1 C 0.0000 0.0000 0.5000
C2 C 0.0000 0.5000 0.0000
C3 C 0.5000 0.0000 0.0000
I1 I 0.5000 0.5000 0.5000

***

(2)
# TlCI2, optimized geometry, DFT PBE
# Crystal system: tetragonal
# Energy relative to the lowest polymorph listed for this composition: 0.000 eV/atom
# E: -0.1970 Ry/atom
data_TlCI2
_chemical_formula_sum 'Tl2 C2 I4'
_cell_length_a 7.5443
_cell_length_b 7.5443
_cell_length_c 7.5443
_cell_angle_alpha 119.98
_cell_angle_beta 119.98
_cell_angle_gamma 90.03
_symmetry_space_group_name_H-M 'P 1'
_symmetry_Int_Tables_number 1
loop_
_symmetry_equiv_pos_as_xyz
'x,y,z'
loop_
_atom_site_label
_atom_site_type_symbol
_atom_site_fract_x
_atom_site_fract_y
_atom_site_fract_z
Tl1 Tl 0.0000 0.0000 0.0000
Tl2 Tl 0.7500 0.2500 0.5000
C1 C 0.2500 0.7500 0.5000
C2 C 0.5000 0.5000 0.0000
I1 I 0.3732 0.1250 0.7482
I2 I 0.3750 0.6268 0.7518
I3 I 0.3768 0.6250 0.2518
I4 I 0.8750 0.6232 0.2482

***

(3)
# Tl2CI, optimized geometry, DFT PBE
# Crystal system: cubic
# Energy relative to the lowest polymorph listed for this composition: 0.508 eV/atom
# E: -0.1919 Ry/atom
data_Tl2CI
_chemical_formula_sum 'Tl2 C1 I1'
_cell_length_a 5.7225
_cell_length_b 5.7225
_cell_length_c 5.7225
_cell_angle_alpha 60.00
_cell_angle_beta 60.00
_cell_angle_gamma 60.00
_symmetry_space_group_name_H-M 'P 1'
_symmetry_Int_Tables_number 1
loop_
_symmetry_equiv_pos_as_xyz
'x,y,z'
loop_
_atom_site_label
_atom_site_type_symbol
_atom_site_fract_x
_atom_site_fract_y
_atom_site_fract_z
Tl1 Tl 0.2500 0.2500 0.2500
Tl2 Tl 0.7500 0.7500 0.7500
C1 C 0.0000 0.0000 0.0000
I1 I 0.5000 0.5000 0.5000

***

(4)
# TlCI2, optimized geometry, DFT PBE
# Crystal system: cubic
# Energy relative to the lowest polymorph listed for this composition: 0.536 eV/atom
# E: -0.1577 Ry/atom
data_TlCI2
_chemical_formula_sum 'Tl1 C1 I2'
_cell_length_a 5.5904
_cell_length_b 5.5904
_cell_length_c 5.5904
_cell_angle_alpha 60.00
_cell_angle_beta 60.00
_cell_angle_gamma 60.00
_symmetry_space_group_name_H-M 'P 1'
_symmetry_Int_Tables_number 1
loop_
_symmetry_equiv_pos_as_xyz
'x,y,z'
loop_
_atom_site_label
_atom_site_type_symbol
_atom_site_fract_x
_atom_site_fract_y
_atom_site_fract_z
Tl1 Tl 0.0000 0.0000 0.0000
C1 C 0.5000 0.5000 0.5000
I1 I 0.2500 0.2500 0.2500
I2 I 0.7500 0.7500 0.7500

***

(5)
# Tl3CI, optimized geometry, DFT PBE
# Crystal system: cubic
# Energy relative to the lowest polymorph listed for this composition: 0.835 eV/atom
# E: -0.1548 Ry/atom
data_Tl3CI
_chemical_formula_sum 'Tl3 C1 I1'
_cell_length_a 6.5251
_cell_length_b 6.5251
_cell_length_c 6.5251
_cell_angle_alpha 90.00
_cell_angle_beta 90.00
_cell_angle_gamma 90.00
_symmetry_space_group_name_H-M 'P 1'
_symmetry_Int_Tables_number 1
loop_
_symmetry_equiv_pos_as_xyz
'x,y,z'
loop_
_atom_site_label
_atom_site_type_symbol
_atom_site_fract_x
_atom_site_fract_y
_atom_site_fract_z
Tl1 Tl 0.0000 0.0000 0.5000
Tl2 Tl 0.0000 0.5000 0.0000
Tl3 Tl 0.5000 0.0000 0.0000
C1 C 0.5000 0.5000 0.5000
I1 I 0.0000 0.0000 0.0000

***

(6)
# Tm2CI3, optimized geometry, DFT PBE
# Crystal system: monoclinic
# E: -0.3512 Ry/atom
data_Tm2CI3
_chemical_formula_sum 'Tm4 C2 I6'
_cell_length_a 10.3011
_cell_length_b 10.3011
_cell_length_c 11.3433
_cell_angle_alpha 112.06
_cell_angle_beta 112.06
_cell_angle_gamma 22.24
_symmetry_space_group_name_H-M 'P 1'
_symmetry_Int_Tables_number 1
loop_
_symmetry_equiv_pos_as_xyz
'x,y,z'
loop_
_atom_site_label
_atom_site_type_symbol
_atom_site_fract_x
_atom_site_fract_y
_atom_site_fract_z
Tm1 Tm 0.0660 0.0660 0.1972
Tm2 Tm 0.4047 0.4047 0.0567
Tm3 Tm 0.5953 0.5953 0.9433
Tm4 Tm 0.9340 0.9340 0.8028
C1 C 0.4818 0.4818 0.9319
C2 C 0.5182 0.5182 0.0681
I1 I 0.0713 0.0713 0.7282
I2 I 0.1994 0.1994 0.1290
I3 I 0.3676 0.3676 0.5866
I4 I 0.6324 0.6324 0.4134
I5 I 0.8006 0.8006 0.8710
I6 I 0.9287 0.9287 0.2718

***

(7)
# V3CI, optimized geometry, DFT PBE
# Crystal system: cubic
# Energy relative to the lowest polymorph listed for this composition: 0.000 eV/atom
# E: -0.5333 Ry/atom
data_V3CI
_chemical_formula_sum 'V3 C1 I1'
_cell_length_a 4.0963
_cell_length_b 4.0963
_cell_length_c 4.0963
_cell_angle_alpha 90.00
_cell_angle_beta 90.00
_cell_angle_gamma 90.00
_symmetry_space_group_name_H-M 'P 1'
_symmetry_Int_Tables_number 1
loop_
_symmetry_equiv_pos_as_xyz
'x,y,z'
loop_
_atom_site_label
_atom_site_type_symbol
_atom_site_fract_x
_atom_site_fract_y
_atom_site_fract_z
V1 V 0.0000 0.0000 0.5000
V2 V 0.0000 0.5000 0.0000
V3 V 0.5000 0.0000 0.0000
C1 C 0.0000 0.0000 0.0000
I1 I 0.5000 0.5000 0.5000

***

(8)
# VC2I, optimized geometry, DFT PBE
# Crystal system: tetragonal
# Energy relative to the lowest polymorph listed for this composition: 0.000 eV/atom
# E: -0.4274 Ry/atom
data_VC2I
_chemical_formula_sum 'V2 C4 I2'
_cell_length_a 6.0873
_cell_length_b 6.0873
_cell_length_c 6.0873
_cell_angle_alpha 128.43
_cell_angle_beta 128.43
_cell_angle_gamma 75.93
_symmetry_space_group_name_H-M 'P 1'
_symmetry_Int_Tables_number 1
loop_
_symmetry_equiv_pos_as_xyz
'x,y,z'
loop_
_atom_site_label
_atom_site_type_symbol
_atom_site_fract_x
_atom_site_fract_y
_atom_site_fract_z
V1 V 0.0000 0.0000 0.0000
V2 V 0.7500 0.2500 0.5000
C1 C 0.0133 0.6250 0.8883
C2 C 0.3750 0.2633 0.3883
C3 C 0.7367 0.1250 0.1117
C4 C 0.8750 0.9867 0.6117
I1 I 0.2500 0.7500 0.5000
I2 I 0.5000 0.5000 0.0000

***

Number 1: raw formation energy 3.44 eV/atom. Number 2: raw formation energy 0.99 eV/atom. Number 3: raw formation energy 1.27 eV/atom. Number 4: raw formation energy 1.53 eV/atom. Number 5: raw formation energy 1.47 eV/atom. Number 6: raw formation energy -0.98 eV/atom. Number 7: raw formation energy 0.37 eV/atom. Number 8: raw formation energy 1.46 eV/atom.